1.
Material: LaSi2
Method: DFT, meta-GGA SCAN
State: single point on PBEsol structure

Its space group is Pnnm. The density is 4.4 Mg/m³. The calculation puts the energy relative to the elements, uncorrected at -65 meV/atom. The density of states at the Fermi level comes out at 0.566 states/eV/atom.

Cell: 3.5407 7.3302 5.6120 Å, 90.00 90.00 90.00°
Last column: nearest neighbours and their distance in Å.
Sites, in units of the cell vectors:
La (0.0000, 0.0000, 0.0000)  6 Si 3.01-3.05
La (0.5000, 0.5000, 0.5000)  6 Si 3.01-3.05
Si (0.2490, 0.3921, 0.0000)  2 Si 2.37-2.38
Si (0.2510, 0.8921, 0.5000)  2 Si 2.37-2.38
Si (0.7490, 0.1079, 0.5000)  2 Si 2.37-2.38
Si (0.7510, 0.6079, 0.0000)  2 Si 2.37-2.38



2.
Material: Mg2B2As
Method: DFT, meta-GGA SCAN
State: single point on PBEsol structure

Its space group is P4/mbm. The density is 3.4 Mg/m³. The density of states at the Fermi level comes out at 0.321 states/eV/atom. The calculation puts the energy of formation at 90 kJ per mole of atoms.

Cell: 7.2399 7.2399 2.6877 Å, 90.00 90.00 90.00°
Last column: nearest neighbours and their distance in Å.
Sites, in units of the cell vectors:
Mg (0.1345, 0.3655, 0.0000)  6 B 2.42-2.59, 2 Mg 2.69
Mg (0.3655, 0.8655, 0.0000)  6 B 2.42-2.59, 2 Mg 2.69
Mg (0.6345, 0.1345, 0.0000)  6 B 2.42-2.59, 2 Mg 2.69
Mg (0.8655, 0.6345, 0.0000)  6 B 2.42-2.59, 2 Mg 2.69
B (0.1694, 0.6694, 0.5000)  6 Mg 2.42-2.59, 2 B 2.69
B (0.3306, 0.1694, 0.5000)  6 Mg 2.42-2.59, 2 B 2.69
B (0.6694, 0.8306, 0.5000)  6 Mg 2.42-2.59, 2 B 2.69
B (0.8306, 0.3306, 0.5000)  6 Mg 2.42-2.59, 2 B 2.69
As (0.0000, 0.0000, 0.0000)  2 As 2.69, 4 Mg 2.82, 8 B 3.01
As (0.5000, 0.5000, 0.0000)  2 As 2.69, 4 Mg 2.82, 8 B 3.01



> Which of these has the lowest density?

Mg2B2As



> Number 1 is which compound?

LaSi2